Entry 1:
The following is a DFT calculation (PBE) of SrLa2ScH after structural relaxation.

Lattice parameters (Å, degrees): 5.2358 5.2358 5.2330 90.00 90.00 90.00
Space group P4/mmm (No. 123)
One atom of each set of equivalent atoms:
Sr: 0.0000 0.0000 0.0000 [1 per cell]
La: 0.0000 0.5000 0.5000 [2 per cell]
Sc: 0.5000 0.5000 0.0000 [1 per cell]
H: 0.0000 0.0000 0.5000 [1 per cell]

Calculated values
ΔE to the lowest computed polymorph = 0 meV/atom

Entry 2:
The following is a DFT calculation (PBE) of SrLaSc2H after structural relaxation.

Lattice parameters (Å, degrees): 5.3753 5.3753 6.0078 90.00 90.00 90.00
Space group P4/mmm (No. 123)
One atom of each set of equivalent atoms:
Sr: 0.0000 0.0000 0.0000 [1 per cell]
La: 0.0000 0.0000 0.5000 [1 per cell]
Sc: 0.0000 0.5000 0.0000 [2 per cell]
H: 0.5000 0.5000 0.5000 [1 per cell]

Calculated values
final energy = -2.87 eV per atom

Entry 3:
The following is a DFT calculation (PBE) of SrLa2ScH after structural relaxation.

Lattice parameters (Å, degrees): 6.3803 6.3803 3.9706 90.00 90.00 90.00
Space group P4/mmm (No. 123)
One atom of each set of equivalent atoms:
Sr: 0.0000 0.0000 0.0000 [1 per cell]
La: 0.0000 0.5000 0.0000 [2 per cell]
Sc: 0.5000 0.5000 0.5000 [1 per cell]
H: 0.0000 0.0000 0.5000 [1 per cell]

Calculated values
ΔE to the lowest computed polymorph = 749 meV/atom

Entry 4:
The following is a DFT calculation (PBE) of La2ScTiH after structural relaxation.

Lattice parameters (Å, degrees): 5.3074 5.3074 4.1022 90.00 90.00 90.00
Space group P4/mmm (No. 123)
One atom of each set of equivalent atoms:
La: 0.0000 0.5000 0.0000 [2 per cell]
Sc: 0.0000 0.0000 0.5000 [1 per cell]
Ti: 0.5000 0.5000 0.5000 [1 per cell]
H: 0.5000 0.5000 0.0000 [1 per cell]

Calculated values
ΔE to the lowest computed polymorph = 0 meV/atom

Entry 5:
The following is a DFT calculation (PBE) of La2ScTiH after structural relaxation.

Lattice parameters (Å, degrees): 5.0263 5.0263 4.5053 90.00 90.00 90.00
Space group P4/mmm (No. 123)
One atom of each set of equivalent atoms:
La: 0.0000 0.5000 0.0000 [2 per cell]
Sc: 0.0000 0.0000 0.5000 [1 per cell]
Ti: 0.5000 0.5000 0.5000 [1 per cell]
H: 0.0000 0.0000 0.0000 [1 per cell]

Calculated values
ΔE to the lowest computed polymorph = 28 meV/atom

Entry 6:
The following is a DFT calculation (PBE) of La2ScTlH after structural relaxation.

Lattice parameters (Å, degrees): 4.9035 4.9035 4.9684 90.00 90.00 90.00
Space group P4/mmm (No. 123)
One atom of each set of equivalent atoms:
La: 0.0000 0.5000 0.0000 [2 per cell]
Sc: 0.0000 0.0000 0.5000 [1 per cell]
Tl: 0.5000 0.5000 0.5000 [1 per cell]
H: 0.0000 0.0000 0.0000 [1 per cell]

Calculated values
final energy = -4.68 eV per atom

Entry 7:
The following is a DFT calculation (PBE) of LaSc2TlH after structural relaxation.

Lattice parameters (Å, degrees): 4.7756 4.7756 4.6490 90.00 90.00 90.00
Space group P4/mmm (No. 123)
One atom of each set of equivalent atoms:
La: 0.0000 0.0000 0.0000 [1 per cell]
Sc: 0.0000 0.5000 0.5000 [2 per cell]
Tl: 0.5000 0.5000 0.0000 [1 per cell]
H: 0.0000 0.0000 0.5000 [1 per cell]

Calculated values
final energy = -4.94 eV per atom

Entry 8:
The following is a DFT calculation (PBE) of LaSc2ZnH after structural relaxation.

Lattice parameters (Å, degrees): 4.6065 4.6065 4.6924 90.00 90.00 90.00
Space group P4/mmm (No. 123)
One atom of each set of equivalent atoms:
La: 0.0000 0.0000 0.0000 [1 per cell]
Sc: 0.0000 0.5000 0.5000 [2 per cell]
Zn: 0.5000 0.5000 0.0000 [1 per cell]
H: 0.0000 0.0000 0.5000 [1 per cell]

Calculated values
final energy = -4.62 eV per atom

Entry 9:
The following is a DFT calculation (PBE) of La3HSe after structural relaxation.

Lattice parameters (Å, degrees): 4.9085 4.9085 4.9085 90.00 90.00 90.00
Space group Pm-3m (No. 221)
One atom of each set of equivalent atoms:
La: 0.0000 0.0000 0.5000 [3 per cell]
H: 0.0000 0.0000 0.0000 [1 per cell]
Se: 0.5000 0.5000 0.5000 [1 per cell]

Calculated values
ΔE to the lowest computed polymorph = 0 meV/atom

Entry 10:
The following is a DFT calculation (PBE) of La2HSe after structural relaxation.

Lattice parameters (Å, degrees): 7.1932 7.1932 7.2933 90.00 90.00 90.00
Space group I-42d (No. 122)
One atom of each set of equivalent atoms:
La: 0.1762 0.2500 0.1250 [8 per cell]
H: 0.0000 0.0000 0.0000 [4 per cell]
Se: 0.0000 0.0000 0.5000 [4 per cell]

Calculated values
ΔE to the lowest computed polymorph = 76 meV/atom

Entry 11:
The following is a DFT calculation (PBE) of La2H2Se after structural relaxation.

Lattice parameters (Å, degrees): 3.8151 3.8151 13.0483 90.00 90.00 90.00
Space group I4/mmm (No. 139)
One atom of each set of equivalent atoms:
La: 0.0000 0.0000 0.1377 [4 per cell]
H: 0.0000 0.5000 0.2500 [4 per cell]
Se: 0.0000 0.0000 0.5000 [2 per cell]

Calculated values
final energy = -5.07 eV per atom

Entry 12:
The following is a DFT calculation (PBE) of La2HSe after structural relaxation.

Lattice parameters (Å, degrees): 7.1474 7.1474 7.1474 90.00 90.00 90.00
Space group Fm-3m (No. 225)
One atom of each set of equivalent atoms:
La: 0.2500 0.2500 0.2500 [8 per cell]
H: 0.0000 0.0000 0.0000 [4 per cell]
Se: 0.0000 0.0000 0.5000 [4 per cell]

Calculated values
ΔE to the lowest computed polymorph = 287 meV/atom